Computed, not measured: MoClF after structural relaxation at the PBE+U level of DFT.

CIF file:
```
data_MoClF
_cell_length_a 4.5501
_cell_length_b 5.7564
_cell_length_c 6.6435
_cell_angle_alpha 115.39
_cell_angle_beta 109.53
_cell_angle_gamma 90.86
_symmetry_space_group_name_H-M 'P -1'
_symmetry_Int_Tables_number 2
_symmetry_space_group_name_Hall '-P 1'
loop_
_atom_site_label
_atom_site_type_symbol
_atom_site_fract_x
_atom_site_fract_y
_atom_site_fract_z
_atom_site_occupancy
Mo1 Mo 0.1287 0.3781 0.2559 1
Cl1 Cl 0.0955 0.8492 0.1983 1
F1 F 0.3263 0.5768 0.6531 1
```

As for the electronic total energy: -4.891 eV/atom. As for the energy relative to the lowest polymorph listed for this composition: 0.00 eV/f.u. The calculation puts the total moment at 8.00 μB/cell.